1.
Compound: TaNi2HPd
Source: Alexandria via LeMat-Bulk
Functional: GGA-PBE
Structure: relaxed

Computed properties:
Spin magnetization in μB/f.u.: 0.00
Space-group type: P4/mmm (123)
Total DFT energy (no corrections) in eV per cell: -32.56
Mass density in Mg/m³: 11.79

a = 3.8212 Å, b = 3.8212 Å, c = 3.9127 Å
α = 90.00°, β = 90.00°, γ = 90.00°
Positions (direct):
Ta 0.0000 0.0000 0.0000
Ni 0.0000 0.5000 0.5000
Ni 0.5000 0.0000 0.5000
H 0.0000 0.0000 0.5000
Pd 0.5000 0.5000 0.0000


2.
Compound: TbNi3H8Pd2
Source: Alexandria via LeMat-Bulk
Functional: GGA-PBE
Structure: relaxed

Computed properties:
Spin magnetization in μB/f.u.: 0.00
Space-group type: R3m (160)
Total DFT energy (no corrections) in eV per cell: -62.09
Mass density in Mg/m³: 7.94

a = 5.5896 Å, b = 5.5896 Å, c = 5.5896 Å
α = 57.47°, β = 57.47°, γ = 57.47°
Positions (direct):
Tb 0.0000 0.0000 0.0000
Ni 0.1358 0.6281 0.6281
Ni 0.6281 0.1358 0.6281
Ni 0.6281 0.6281 0.1358
H 0.3750 0.3750 0.8399
H 0.3750 0.8399 0.3750
H 0.3965 0.3965 0.3965
H 0.4781 0.8656 0.8656
H 0.8399 0.3750 0.3750
H 0.8458 0.8458 0.8458
H 0.8656 0.4781 0.8656
H 0.8656 0.8656 0.4781
Pd 0.2631 0.2631 0.2631
Pd 0.6268 0.6268 0.6268


- The lowest total DFT energy (no corrections) belongs to which entry?
  TbNi3H8Pd2